Below is a relaxed Ni2AgP crystal, with properties calculated at the PBE level.

Results
Its space group is P4/mmm. The total energy comes out at -20.28 eV for the cell shown.

Cell: 2.807 2.807 6.537 Å, 90.00 90.00 90.00°
Fractional coordinates of all 4 atoms:
Ni  0.000  0.000  0.193
Ni  0.000  0.000  0.807
Ag  0.500  0.500  0.500
P  0.500  0.500  0.000